1.
DFT (PBE) results for a geometry-optimized Mn2AgPd structure.

Output
ρ   8.45 Mg/m³
E_form   0.082 eV per atom
Electronic total energy   -26.1 eV per formula unit
D(E_F)   2.03 states/eV/f.u.
Crystal system   tetragonal

Unit cell a=4.399 b=4.399 c=3.291 alpha=90.00 beta=90.00 gamma=90.00
Positions (direct):
Mn 0.000 0.500 0.000
Mn 0.500 0.000 0.000
Ag 0.000 0.000 0.500
Pd 0.500 0.500 0.500

***

2.
DFT (PBE) results for a geometry-optimized CoAs2RhBr structure.

Output
Raw formation energy   0.654 eV/atom
ρ   6.67 Mg/m³
Electronic total energy   -22.2 eV per formula unit
D(E_F)   3.98 states/eV/f.u.
Crystal system   tetragonal

Unit cell a=4.425 b=4.425 c=4.978 alpha=90.00 beta=90.00 gamma=90.00
Positions (direct):
Co 0.000 0.000 0.000
As 0.000 0.500 0.000
As 0.500 0.000 0.000
Rh 0.500 0.500 0.500
Br 0.000 0.000 0.500

***

3.
DFT (PBE) results for a geometry-optimized PrHoPtPb structure.

Output
ρ   11.28 Mg/m³
E_form   -0.685 eV per atom
Electronic total energy   -21.8 eV per formula unit
D(E_F)   1.72 states/eV/f.u.
Crystal system   cubic

Unit cell a=5.283 b=5.283 c=5.283 alpha=60.00 beta=60.00 gamma=60.00
Positions (direct):
Pr 0.000 0.000 0.000
Ho 0.500 0.500 0.500
Pt 0.250 0.250 0.250
Pb 0.750 0.750 0.750

***

4.
DFT (PBE) results for a geometry-optimized OsRu2Br structure.

Output
Raw formation energy   1.003 eV/atom
ρ   11.82 Mg/m³
Electronic total energy   -27.4 eV per formula unit
D(E_F)   6.03 states/eV/f.u.
Crystal system   orthorhombic

Unit cell a=2.773 b=2.773 c=9.977 alpha=90.00 beta=90.00 gamma=120.09
Positions (direct):
Os 0.000 0.000 0.000
Ru 0.000 0.000 0.445
Ru 0.500 0.500 0.222
Br 0.500 0.500 0.691